No. 1
# Rb2SmMnTe4 (PBE-GGA, relaxed)
# **Total energy**: -4.381 eV/atom
# **Formation energy from raw total energies**: -0.83 eV/atom
# **D(E_F)**: 0.243 states/eV per atom
data_Rb2SmMnTe4
_cell_length_a 9.138
_cell_length_b 9.397
_cell_length_c 13.619
_cell_angle_alpha 90.00
_cell_angle_beta 90.00
_cell_angle_gamma 90.00
_space_group_name_H-M_alt 'I m m a'
_space_group_IT_number 74
_space_group_name_Hall '-I 2b 2'
loop_
_atom_site_label
_atom_site_fract_x
_atom_site_fract_y
_atom_site_fract_z
Rb1 0.000 0.000 0.000
Rb2 0.250 0.250 0.250
Sm1 0.000 0.000 0.500
Mn1 0.250 0.250 0.750
Te1 0.000 0.065 0.738
Te2 0.224 0.250 0.513

=====

No. 2
# Rb3Sm3MnTe8 (PBE-GGA, relaxed)
# **Total energy**: -4.506 eV/atom
# **Formation energy from raw total energies**: -1.08 eV/atom
# **D(E_F)**: 0.155 states/eV per atom
data_Rb3Sm3MnTe8
_cell_length_a 8.9078
_cell_length_b 8.9078
_cell_length_c 26.3382
_cell_angle_alpha 90.00
_cell_angle_beta 90.00
_cell_angle_gamma 120.00
_space_group_name_H-M_alt 'R -3 m'
_space_group_IT_number 166
_space_group_name_Hall '-R 3 2"'
loop_
_atom_site_label
_atom_site_fract_x
_atom_site_fract_y
_atom_site_fract_z
Rb1 0.0000 0.5000 0.0000
Sm1 0.0000 0.5000 0.5000
Mn1 0.0000 0.0000 0.5000
Te1 0.0000 0.0000 0.2350
Te2 0.0342 0.5171 0.2283

=====

No. 3
# RbMnSn2 (PBE-GGA, relaxed)
# **Energy above the lowest structure with this stoichiometry**: 0.169 eV/atom
# **Total energy**: -4.090 eV/atom
# **D(E_F)**: 0.482 states/eV per atom
data_RbMnSn2
_cell_length_a 7.628
_cell_length_b 7.628
_cell_length_c 7.628
_cell_angle_alpha 90.00
_cell_angle_beta 90.00
_cell_angle_gamma 90.00
_space_group_name_H-M_alt 'F m -3 m'
_space_group_IT_number 225
_space_group_name_Hall '-F 4 2 3'
loop_
_atom_site_label
_atom_site_fract_x
_atom_site_fract_y
_atom_site_fract_z
Rb1 0.000 0.000 0.000
Mn1 0.000 0.000 0.500
Sn1 0.250 0.250 0.250